Density functional theory data (PBE-GGA) for a geometry-optimized Na2Hg2Se3 structure.

Its spin magnetization is 0.00 μB per formula unit. The energy above the most stable polymorph in this dataset is 0.000 eV/atom. The uncorrected formation energy is -4.1 eV per formula unit. The value obtained for the uncorrected energy is -2.537 eV per atom.

It has space group C2/c (No. 15), with a = 16.075 Å, b = 14.408 Å, c = 7.715 Å, α = 90.00°, β = 118.67° and γ = 90.00°. The inequivalent atoms are Na at (0.000, 0.078, 0.250), Na at (0.000, 0.223, 0.750), Na at (0.116, 0.418, 0.669), Hg at (0.167, 0.235, 0.250), Hg at (0.209, 0.077, 0.805), Se at (0.104, 0.390, 0.033), Se at (0.130, 0.227, 0.557) and Se at (0.132, 0.072, 0.054).



Density functional theory data (PBE-GGA) for a geometry-optimized Na3HgSe structure.

Its spin magnetization is 0.00 μB per formula unit. The energy above the most stable polymorph in this dataset is 0.065 eV/atom. The uncorrected formation energy is -2.8 eV per formula unit. The value obtained for the uncorrected energy is -2.101 eV per atom.

It has space group Pm-3m (No. 221), with a = 5.567 Å, b = 5.567 Å, c = 5.567 Å, α = 90.00°, β = 90.00° and γ = 90.00°. The inequivalent atoms are Na at (0.000, 0.000, 0.500), Hg at (0.500, 0.500, 0.500) and Se at (0.000, 0.000, 0.000).



Density functional theory data (PBE-GGA) for a geometry-optimized NaHgSe2 structure.

Its spin magnetization is 0.00 μB per formula unit. The uncorrected formation energy is -1.1 eV per formula unit. The value obtained for the uncorrected energy is -2.430 eV per atom.

It has space group R-3m (No. 166, hexagonal axes), with a = 4.7301 Å, b = 4.7301 Å, c = 22.1714 Å, α = 90.00°, β = 90.00° and γ = 120.00°. The inequivalent atoms are Na at (0.0000, 0.0000, 0.0000), Hg at (0.0000, 0.0000, 0.5000) and Se at (0.0000, 0.0000, 0.3894).



Density functional theory data (PBE-GGA) for a geometry-optimized Na2HgSe structure.

Its spin magnetization is 0.00 μB per formula unit. The energy above the most stable polymorph in this dataset is 0.058 eV/atom. The uncorrected formation energy is -2.7 eV per formula unit. The value obtained for the uncorrected energy is -2.282 eV per atom.

It has space group R3m (No. 160, hexagonal axes), with a = 4.6488 Å, b = 4.6488 Å, c = 20.4807 Å, α = 90.00°, β = 90.00° and γ = 120.00°. The inequivalent atoms are Na at (0.0000, 0.0000, 0.0000), Na at (0.0000, 0.0000, 0.2325), Hg at (0.0000, 0.0000, 0.4445) and Se at (0.0000, 0.0000, 0.6135).



Density functional theory data (PBE-GGA) for a geometry-optimized NaHg3Se structure.

Its spin magnetization is 1.05 μB per formula unit. The energy above the most stable polymorph in this dataset is 0.168 eV/atom. The uncorrected formation energy is 1.4 eV per formula unit. The value obtained for the uncorrected energy is -0.859 eV per atom.

It has space group Pm-3m (No. 221), with a = 5.653 Å, b = 5.653 Å, c = 5.653 Å, α = 90.00°, β = 90.00° and γ = 90.00°. The inequivalent atoms are Na at (0.000, 0.000, 0.000), Hg at (0.000, 0.000, 0.500) and Se at (0.500, 0.500, 0.500).



Density functional theory data (PBE-GGA) for a geometry-optimized Na2HgSe2 structure.

Its spin magnetization is 0.00 μB per formula unit. The energy above the most stable polymorph in this dataset is 0.120 eV/atom. The uncorrected formation energy is -3.1 eV per formula unit. The value obtained for the uncorrected energy is -2.599 eV per atom.

It has space group P4/mbm (No. 127), with a = 7.709 Å, b = 7.709 Å, c = 4.230 Å, α = 90.00°, β = 90.00° and γ = 90.00°. The inequivalent atoms are Na at (0.139, 0.361, 0.000), Hg at (0.000, 0.000, 0.500) and Se at (0.175, 0.675, 0.500).



Q: uncorrected formation energy of number 6 (Na2HgSe2)?
A: -3.1 eV per formula unit



Q: The highest uncorrected formation energy belongs to which entry?
A: NaHg3Se



Q: Which value of spin magnetization does entry 2 give?
A: 0.00 μB per formula unit